A plane-wave DFT calculation with PBE was carried out for a relaxed structure of TbZrPdPb.

a = 5.085 Å, b = 5.085 Å, c = 5.085 Å
α = 60.00°, β = 60.00°, γ = 60.00°
Last column: magnetic moment on the atom in μB.
Sites, in units of the cell vectors:
Pb1 0.500 0.500 0.500  -0.01
Tb1 0.250 0.250 0.250  0.23
Zr1 0.750 0.750 0.750  0.57
Pd1 0.000 0.000 0.000  0.09

## Properties
Energy of formation from the pure elements, eV/f.u.: -1.57
Mass density, g/cm3: 10.1

A plane-wave DFT calculation with PBE was carried out for a relaxed structure of TcPd3Pb.

a = 4.844 Å, b = 4.844 Å, c = 4.844 Å
α = 90.00°, β = 90.00°, γ = 90.00°
Sites, in units of the cell vectors:
Pb1 0.500 0.500 0.500
Tc1 0.000 0.000 0.000
Pd1 0.000 0.500 0.000
Pd2 0.000 0.000 0.500
Pd3 0.500 0.000 0.000

## Properties
Energy of formation from the pure elements, eV/f.u.: 4.34
ΔE to the lowest computed polymorph, eV per formula unit: 0.00
Mass density, g/cm3: 9.1

A plane-wave DFT calculation with PBE was carried out for a relaxed structure of Tc3PdPb.

a = 4.820 Å, b = 4.820 Å, c = 4.820 Å
α = 90.00°, β = 90.00°, γ = 90.00°
Last column: magnetic moment on the atom in μB.
Sites, in units of the cell vectors:
Pb1 0.500 0.500 0.500  -0.09
Tc1 0.000 0.500 0.000  1.92
Tc2 0.000 0.000 0.500  2.56
Tc3 0.500 0.000 0.000  1.57
Pd1 0.000 0.000 0.000  0.46

## Properties
Energy of formation from the pure elements, eV/f.u.: 9.19
ΔE to the lowest computed polymorph, eV per formula unit: 0.00
Mass density, g/cm3: 9.0

What did the first record say?
A plane-wave DFT calculation with PBE was carried out for a relaxed structure of TbZrPdPb.

a = 5.085 Å, b = 5.085 Å, c = 5.085 Å
α = 60.00°, β = 60.00°, γ = 60.00°
Last column: magnetic moment on the atom in μB.
Sites, in units of the cell vectors:
Pb1 0.500 0.500 0.500  -0.01
Tb1 0.250 0.250 0.250  0.23
Zr1 0.750 0.750 0.750  0.57
Pd1 0.000 0.000 0.000  0.09

## Properties
Energy of formation from the pure elements, eV/f.u.: -1.57
Mass density, g/cm3: 10.1

> Look up the energy of formation from the pure elements of the second one.

4.34 eV/f.u.